## Cs2RbH3 (PBE)

Data for a relaxed Cs2RbH3 crystal.

a b c (Å): 9.8752 9.8752 9.8752
angles (deg): 154.10 154.10 36.96
Last column: nearest neighbours and their distance in Å.
Positions (direct):
Cs  0.1659  0.1659  0.0000  6 H 3.11-3.25
Cs  0.8341  0.8341  0.0000  6 H 3.11-3.25
Rb  0.5000  0.5000  0.0000  6 H 3.01-3.13
H  0.0000  0.0000  0.0000  2 Cs 3.11, 4 Rb 3.13
H  0.3393  0.3393  0.0000  1 Rb 3.01, 5 Cs 3.13-3.25
H  0.6607  0.6607  0.0000  1 Rb 3.01, 5 Cs 3.13-3.25

Output
Total energy = -2.288 eV per atom
Space-group type = No. 139